This record from OQMD via LeMat-Bulk describes a relaxed Lu8Co2C3N3 crystal. The functional is PBE-GGA.

Results
For the total energy, the calculation gives -7.1513 eV per atom. For the total magnetization, the calculation gives 1.6 μB per formula unit.

Unit cell a=3.3849 b=3.3849 c=24.6640 alpha=90.00 beta=90.00 gamma=120.00
Closest atoms and distances in Å follow each position.
Space group P-3m1 (No. 164)
Asymmetric unit:
Lu 0.0000 0.0000 0.1653 (multiplicity 2)  3 N 2.36
Lu 0.0000 0.0000 0.3280 (multiplicity 2)  3 C 2.32
Lu 0.3333 0.6667 0.5590 (multiplicity 2)  6 C 2.44-2.48
Lu 0.3333 0.6667 0.9449 (multiplicity 2)  6 N 2.38-2.40
Co 0.3333 0.6667 0.7557 (multiplicity 2)  6 Lu 2.76-2.84
C 0.0000 0.0000 0.5000 (multiplicity 1)  6 Lu 2.44
C 0.3333 0.6667 0.3788 (multiplicity 2)  6 Lu 2.32-2.48
N 0.0000 0.0000 0.0000 (multiplicity 1)  6 Lu 2.38
N 0.3333 0.6667 0.1115 (multiplicity 2)  6 Lu 2.36-2.40

This record from OQMD via LeMat-Bulk describes a relaxed AlHg5O4 crystal. The functional is PBE-GGA.

Results
For the relative energy among the computed polymorphs, the calculation gives 0.0014 eV per atom.

Unit cell a=3.1411 b=5.4964 c=10.6758 alpha=103.73 beta=93.08 gamma=90.24
Closest atoms and distances in Å follow each position.
Space group P1 (No. 1)
Asymmetric unit:
Al 0.0000 0.0000 0.0000 (multiplicity 1)  4 O 1.79-1.82
Hg 0.0182 0.5807 0.1536 (multiplicity 1)  2 O 2.03-2.04
Hg 0.0362 0.6856 0.6824 (multiplicity 1)  1 O 2.43
Hg 0.4917 0.3639 0.8069 (multiplicity 1)  2 O 2.30-2.39
Hg 0.5032 0.8287 0.4793 (multiplicity 1)  2 O 2.52-2.82, 1 Hg 2.73
Hg 0.5640 0.1648 0.3298 (multiplicity 1)  3 O 2.36-2.62
O 0.0515 0.4911 0.3279 (multiplicity 1)  1 Hg 2.03
O 0.5154 0.1111 0.0788 (multiplicity 1)  2 Al 1.82
O 0.9760 0.0735 0.8456 (multiplicity 1)  1 Al 1.79
O 0.9919 0.6658 0.9778 (multiplicity 1)  1 Al 1.80

This record from OQMD via LeMat-Bulk describes a relaxed CoReMoAs crystal. The functional is PBE-GGA.

Results
For the total magnetization, the calculation gives 2.7 μB per formula unit. For the relative energy among the computed polymorphs, the calculation gives 0.0000 eV per atom.

Unit cell a=6.1278 b=6.1278 c=6.1278 alpha=90.00 beta=90.00 gamma=90.00
Closest atoms and distances in Å follow each position.
Space group F-43m (No. 216)
Asymmetric unit:
Co 0.0000 0.0000 0.0000 (multiplicity 4)  4 As 2.65, 4 Mo 2.65
Re 0.0000 0.0000 0.5000 (multiplicity 4)  4 As 2.65, 4 Mo 2.65
Mo 0.2500 0.2500 0.2500 (multiplicity 4)  4 Co 2.65, 4 Re 2.65
As 0.2500 0.2500 0.7500 (multiplicity 4)  4 Co 2.65, 4 Re 2.65

This record from OQMD via LeMat-Bulk describes a relaxed TlSnMo crystal. The functional is PBE-GGA.

Results
For the total magnetization, the calculation gives 1.9 μB per formula unit. For the relative energy among the computed polymorphs, the calculation gives 0.0000 eV per atom.

Unit cell a=6.6865 b=6.6865 c=6.6865 alpha=90.00 beta=90.00 gamma=90.00
Closest atoms and distances in Å follow each position.
Space group F-43m (No. 216)
Asymmetric unit:
Tl 0.0000 0.0000 0.0000 (multiplicity 4)  4 Mo 2.90
Sn 0.0000 0.0000 0.5000 (multiplicity 4)  4 Mo 2.90
Mo 0.2500 0.2500 0.7500 (multiplicity 4)  4 Tl 2.90, 4 Sn 2.90

This record from OQMD via LeMat-Bulk describes a relaxed PrMoAu crystal. The functional is PBE-GGA.

Results
The energy of formation comes out at 0.680 eV per atom. For the total magnetization, the calculation gives 2.8 μB per formula unit. For the relative energy among the computed polymorphs, the calculation gives 0.0000 eV per atom.

Unit cell a=6.7279 b=6.7279 c=6.7279 alpha=90.00 beta=90.00 gamma=90.00
Closest atoms and distances in Å follow each position.
Space group F-43m (No. 216)
Asymmetric unit:
Pr 0.0000 0.0000 0.0000 (multiplicity 4)  4 Mo 2.91
Mo 0.2500 0.2500 0.7500 (multiplicity 4)  4 Au 2.91, 4 Pr 2.91
Au 0.0000 0.0000 0.5000 (multiplicity 4)  4 Mo 2.91

This record from OQMD via LeMat-Bulk describes a relaxed CoSnHg crystal. The functional is PBE-GGA.

Results
For the total magnetization, the calculation gives 0.3 μB per formula unit. For the relative energy among the computed polymorphs, the calculation gives 0.0000 eV per atom.

Unit cell a=6.1967 b=6.1967 c=6.1967 alpha=90.00 beta=90.00 gamma=90.00
Closest atoms and distances in Å follow each position.
Space group F-43m (No. 216)
Asymmetric unit:
Co 0.0000 0.0000 0.0000 (multiplicity 4)  4 Hg 2.68, 4 Sn 2.68
Sn 0.2500 0.2500 0.2500 (multiplicity 4)  4 Co 2.68
Hg 0.2500 0.2500 0.7500 (multiplicity 4)  4 Co 2.68

This record from OQMD via LeMat-Bulk describes a relaxed Y4CdInC2 crystal. The functional is PBE-GGA.

Results
For the total energy, the calculation gives -6.3432 eV per atom. For the total magnetization, the calculation gives 1.0 μB per formula unit.

Unit cell a=3.6132 b=3.6132 c=16.2810 alpha=90.00 beta=90.00 gamma=120.00
Closest atoms and distances in Å follow each position.
Space group P-6m2 (No. 187)
Asymmetric unit:
Y 0.0000 0.0000 0.1668 (multiplicity 2)  3 C 2.47
Y 0.3333 0.6667 0.3332 (multiplicity 2)  3 C 2.51
Cd 0.3333 0.6667 0.0000 (multiplicity 1)  6 Y 3.42, 6 Cd 3.61
In 0.0000 0.0000 0.5000 (multiplicity 1)  6 Y 3.42, 6 In 3.61
C 0.6667 0.3333 0.2479 (multiplicity 2)  6 Y 2.47-2.51

This record from OQMD via LeMat-Bulk describes a relaxed Er4TlB2Pb crystal. The functional is PBE-GGA.

Results
For the total energy, the calculation gives -4.8790 eV per atom. For the total magnetization, the calculation gives 0.0 μB per formula unit.

Unit cell a=3.6310 b=3.6310 c=16.6626 alpha=90.00 beta=90.00 gamma=120.00
Closest atoms and distances in Å follow each position.
Space group P-6m2 (No. 187)
Asymmetric unit:
Er 0.0000 0.0000 0.1590 (multiplicity 2)  3 B 2.59
Er 0.3333 0.6667 0.3396 (multiplicity 2)  3 B 2.57
Tl 0.3333 0.6667 0.0000 (multiplicity 1)  6 Er 3.38, 6 Tl 3.63
B 0.6667 0.3333 0.2502 (multiplicity 2)  6 Er 2.57-2.59
Pb 0.0000 0.0000 0.5000 (multiplicity 1)  6 Er 3.40, 6 Pb 3.63

This record from OQMD via LeMat-Bulk describes a relaxed SrNdAgSe3 crystal. The functional is PBE-GGA.

Results
For the total energy, the calculation gives -4.7939 eV per atom. For the total magnetization, the calculation gives 0.0 μB per formula unit.

Unit cell a=8.0789 b=4.2103 c=10.0907 alpha=90.00 beta=105.54 gamma=90.00
Closest atoms and distances in Å follow each position.
Space group P2_1/m (No. 11)
Asymmetric unit:
Sr 0.2467 0.2500 0.2063 (multiplicity 2)  6 Se 3.15-3.22
Nd 0.1979 0.7500 0.6576 (multiplicity 2)  6 Se 2.95-3.02
Ag 0.4094 0.2500 0.9101 (multiplicity 2)  4 Se 2.65-2.94, 2 Ag 2.91
Se 0.0668 0.7500 0.3539 (multiplicity 2)  3 Nd 2.96-2.98, 2 Sr 3.15
Se 0.2178 0.7500 0.9610 (multiplicity 2)  3 Ag 2.74-2.94, 1 Nd 3.02
Se 0.4534 0.2500 0.6588 (multiplicity 2)  1 Ag 2.65, 2 Nd 2.95

This record from OQMD via LeMat-Bulk describes a relaxed ErTmIn2 crystal. The functional is PBE-GGA.

Results
For the total energy, the calculation gives -4.0191 eV per atom. For the total magnetization, the calculation gives 0.0 μB per formula unit.

Unit cell a=4.2651 b=4.5075 c=11.3271 alpha=90.00 beta=90.00 gamma=90.00
Closest atoms and distances in Å follow each position.
Space group Amm2 (No. 38)
Asymmetric unit:
Er 0.0000 0.0000 0.0000 (multiplicity 2)  7 In 3.11-3.41
Tm 0.5000 0.0000 0.2754 (multiplicity 2)  7 In 3.11-3.41
In 0.0000 0.0000 0.7256 (multiplicity 2)  2 In 2.92, 1 Er 3.11, 4 Tm 3.15
In 0.5000 0.0000 0.5500 (multiplicity 2)  2 In 2.92, 1 Tm 3.11, 4 Er 3.15

This record from OQMD via LeMat-Bulk describes a relaxed TmRe2O8 crystal. The functional is PBE-GGA.

Results
For the total energy, the calculation gives -8.2616 eV per atom. For the total magnetization, the calculation gives 0.5 μB per formula unit.

Unit cell a=6.0327 b=6.0327 c=5.5040 alpha=90.00 beta=90.00 gamma=120.00
Closest atoms and distances in Å follow each position.
Space group P-3 (No. 147)
Asymmetric unit:
Tm 0.0000 0.0000 0.0000 (multiplicity 1)  6 O 2.18
Re 0.3333 0.6667 0.6723 (multiplicity 2)  4 O 1.74-1.78
O 0.1617 0.8158 0.7788 (multiplicity 6)  1 Re 1.78
O 0.3333 0.6667 0.3558 (multiplicity 2)  1 Re 1.74

This record from OQMD via LeMat-Bulk describes a relaxed DyInFeTe3 crystal. The functional is PBE-GGA.

Results
For the total energy, the calculation gives -4.7479 eV per atom. For the total magnetization, the calculation gives 3.8 μB per formula unit.

Unit cell a=4.2439 b=15.5083 c=11.2072 alpha=90.00 beta=90.00 gamma=90.00
Closest atoms and distances in Å follow each position.
Space group Cmcm (No. 63)
Asymmetric unit:
Dy 0.0000 0.0000 0.0000 (multiplicity 4)  6 Te 3.06-3.07
In 0.0000 0.2418 0.2500 (multiplicity 4)  6 Te 3.38-3.50
Fe 0.0000 0.4729 0.7500 (multiplicity 4)  4 Te 2.62-2.68
Te 0.0000 0.0787 0.7500 (multiplicity 4)  2 Fe 2.68
Te 0.0000 0.3658 0.5690 (multiplicity 8)  1 Fe 2.62